Here is an optimized crystal structure of MnBe3As from the Alexandria database. Energies are from PBE.

Computed properties:
energy relative to the elements	1354	meV per atom
magnetic moment	0.1	μB/f.u.
calculated total energy	-3.6453	eV per atom
excess energy over the best structure of this formula in the dataset	339	meV per atom

a b c (Å): 4.1531 4.1531 4.1531
angles (deg): 90.00 90.00 90.00
Last column: nearest neighbours and their distance in Å.
Space group Pm-3m (No. 221)
Asymmetric unit:
Mn (0.0000, 0.0000, 0.0000) (multiplicity 1)  12 Be 2.94
Be (0.0000, 0.5000, 0.5000) (multiplicity 3)  2 As 2.08
As (0.5000, 0.5000, 0.5000) (multiplicity 1)  6 Be 2.08